1.
VASP calculation (PBE-GGA) on a geometry-optimized ScCdGa2Pt2 structure.

abc: 4.4238 4.4238 6.2070
angles: 90.00 90.00 120.00
Closest atoms and distances in Å follow each position.
Space group P-3m1 (No. 164)
Inequivalent atoms, fractional coordinates:
Sc: 0.0000 0.0000 0.0000 [1 per cell]  6 Ga 2.94, 6 Pt 2.96, 2 Cd 3.10
Cd: 0.0000 0.0000 0.5000 [1 per cell]  6 Pt 3.02, 6 Ga 3.04, 2 Sc 3.10
Ga: 0.3333 0.6667 0.2334 [2 per cell]  3 Pt 2.55
Pt: 0.3333 0.6667 0.7595 [2 per cell]  3 Ga 2.55

Summary:
- V (Å³/f.u.) = 105.2

2.
VASP calculation (PBE-GGA) on a geometry-optimized Sm2CdGa4Pt3 structure.

abc: 4.2804 4.2804 10.8142
angles: 90.00 90.00 90.00
Closest atoms and distances in Å follow each position.
Space group P-4m2 (No. 115)
Inequivalent atoms, fractional coordinates:
Sm: 0.0000 0.5000 0.2355 [2 per cell]  6 Pt 3.24-3.57, 8 Ga 3.30-3.33, 2 Cd 3.57
Cd: 0.0000 0.0000 0.5000 [1 per cell]  4 Ga 2.65
Ga: 0.0000 0.0000 0.0000 [1 per cell]  4 Pt 2.56
Ga: 0.0000 0.5000 0.6439 [2 per cell]  3 Pt 2.45-2.65, 2 Cd 2.65
Ga: 0.5000 0.5000 0.0000 [1 per cell]  4 Pt 2.56
Pt: 0.0000 0.5000 0.8707 [2 per cell]  5 Ga 2.45-2.56
Pt: 0.5000 0.5000 0.5000 [1 per cell]  4 Ga 2.65

Summary:
- V (Å³/f.u.) = 198.1

3.
VASP calculation (PBE-GGA) on a geometry-optimized SmCdGa2Pt2 structure.

abc: 4.4437 4.4437 6.7863
angles: 90.00 90.00 120.00
Closest atoms and distances in Å follow each position.
Space group P-3m1 (No. 164)
Inequivalent atoms, fractional coordinates:
Sm: 0.0000 0.0000 0.0000 [1 per cell]  6 Pt 3.20, 6 Ga 3.21, 2 Cd 3.39
Cd: 0.0000 0.0000 0.5000 [1 per cell]  6 Ga 2.95, 6 Pt 2.97
Ga: 0.3333 0.6667 0.2848 [2 per cell]  3 Pt 2.57
Pt: 0.3333 0.6667 0.7192 [2 per cell]  3 Ga 2.57

Summary:
- V (Å³/f.u.) = 116.1

4.
VASP calculation (PBE-GGA) on a geometry-optimized Sm2CdGa3Pt4 structure.

abc: 4.1121 4.1121 11.6475
angles: 90.00 90.00 90.00
Closest atoms and distances in Å follow each position.
Space group P-4m2 (No. 115)
Inequivalent atoms, fractional coordinates:
Sm: 0.0000 0.5000 0.2450 [2 per cell]  4 Pt 3.11, 4 Ga 3.21
Cd: 0.0000 0.0000 0.5000 [1 per cell]  4 Pt 2.77, 4 Ga 2.91
Ga: 0.0000 0.5000 0.8719 [2 per cell]  5 Pt 2.48-2.54
Ga: 0.5000 0.5000 0.5000 [1 per cell]  4 Pt 2.77, 4 Cd 2.91
Pt: 0.0000 0.0000 0.0000 [1 per cell]  4 Ga 2.54
Pt: 0.0000 0.5000 0.6593 [2 per cell]  3 Ga 2.48-2.77, 2 Cd 2.77
Pt: 0.5000 0.5000 0.0000 [1 per cell]  4 Ga 2.54

Summary:
- V (Å³/f.u.) = 197.0

5.
VASP calculation (PBE-GGA) on a geometry-optimized SrCdGa2Pt structure.

abc: 4.8915 4.8915 5.2625
angles: 90.00 90.00 90.00
Closest atoms and distances in Å follow each position.
Space group P4/mmm (No. 123)
Inequivalent atoms, fractional coordinates:
Sr: 0.0000 0.0000 0.0000 [1 per cell]  4 Cd 3.46, 8 Ga 3.59
Cd: 0.5000 0.5000 0.0000 [1 per cell]  2 Pt 2.63
Ga: 0.0000 0.5000 0.5000 [2 per cell]  2 Pt 2.45
Pt: 0.5000 0.5000 0.5000 [1 per cell]  4 Ga 2.45, 2 Cd 2.63

Summary:
- V (Å³/f.u.) = 125.9
- offset from the most stable computed form (meV/atom) = 0.0

6.
VASP calculation (PBE-GGA) on a geometry-optimized SrCd2GaPt structure.

abc: 5.2707 5.2707 4.8414
angles: 90.00 90.00 90.00
Closest atoms and distances in Å follow each position.
Space group P4/mmm (No. 123)
Inequivalent atoms, fractional coordinates:
Sr: 0.0000 0.0000 0.0000 [1 per cell]  8 Cd 3.58, 4 Ga 3.73
Cd: 0.0000 0.5000 0.5000 [2 per cell]  2 Pt 2.64
Ga: 0.5000 0.5000 0.0000 [1 per cell]  2 Pt 2.42
Pt: 0.5000 0.5000 0.5000 [1 per cell]  2 Ga 2.42, 4 Cd 2.64

Summary:
- V (Å³/f.u.) = 134.5

7.
VASP calculation (PBE-GGA) on a geometry-optimized SrCdGa2Pt structure.

abc: 4.8754 4.8754 5.9115
angles: 90.00 90.00 90.00
Closest atoms and distances in Å follow each position.
Space group P4/mmm (No. 123)
Inequivalent atoms, fractional coordinates:
Sr: 0.0000 0.0000 0.0000 [1 per cell]  2 Pt 2.96
Cd: 0.5000 0.5000 0.0000 [1 per cell]  4 Sr 3.45, 8 Ga 3.83
Ga: 0.0000 0.5000 0.5000 [2 per cell]  2 Pt 2.44
Pt: 0.0000 0.0000 0.5000 [1 per cell]  4 Ga 2.44

Summary:
- V (Å³/f.u.) = 140.5
- offset from the most stable computed form (meV/atom) = 5.6

8.
VASP calculation (PBE-GGA) on a geometry-optimized Sr2CdGa3Pt4 structure.

abc: 4.4537 4.4537 10.6022
angles: 90.00 90.00 90.00
Closest atoms and distances in Å follow each position.
Space group P-4m2 (No. 115)
Inequivalent atoms, fractional coordinates:
Sr: 0.0000 0.5000 0.2413 [2 per cell]  8 Pt 3.37-3.39, 6 Ga 3.41-3.53, 2 Cd 3.53
Cd: 0.0000 0.0000 0.5000 [1 per cell]  4 Pt 2.71
Ga: 0.0000 0.5000 0.8812 [2 per cell]  5 Pt 2.50-2.56
Ga: 0.5000 0.5000 0.5000 [1 per cell]  4 Pt 2.71
Pt: 0.0000 0.0000 0.0000 [1 per cell]  4 Ga 2.56
Pt: 0.0000 0.5000 0.6458 [2 per cell]  3 Ga 2.50-2.71, 2 Cd 2.71
Pt: 0.5000 0.5000 0.0000 [1 per cell]  4 Ga 2.56

Summary:
- V (Å³/f.u.) = 210.3

9.
VASP calculation (PBE-GGA) on a geometry-optimized SrCdGaPt3 structure.

abc: 7.3106 12.4873 5.8237
angles: 90.00 90.00 90.00
Closest atoms and distances in Å follow each position.
Space group Cmcm (No. 63)
Inequivalent atoms, fractional coordinates:
Sr: 0.0000 0.2044 0.2500 [4 per cell]  2 Ga 3.08, 1 Cd 3.18, 6 Pt 3.23-3.26
Cd: 0.0000 0.4594 0.2500 [4 per cell]  5 Pt 2.72-2.80
Ga: 0.0000 0.1229 0.7500 [4 per cell]  5 Pt 2.42-2.54
Pt: 0.0000 0.3166 0.7500 [4 per cell]  1 Ga 2.42
Pt: 0.1934 0.0000 0.0000 [8 per cell]  2 Ga 2.54, 2 Cd 2.72, 1 Pt 2.83

Summary:
- V (Å³/f.u.) = 132.9

10.
VASP calculation (PBE-GGA) on a geometry-optimized SrCdGa2Pt5 structure.

abc: 4.0547 4.0547 11.7650
angles: 90.00 90.00 90.00
Closest atoms and distances in Å follow each position.
Space group P4/mmm (No. 123)
Inequivalent atoms, fractional coordinates:
Sr: 0.0000 0.0000 0.0000 [1 per cell]  4 Pt 2.87
Cd: 0.0000 0.0000 0.5000 [1 per cell]  8 Pt 2.82
Ga: 0.5000 0.5000 0.2086 [2 per cell]  5 Pt 2.45-2.50
Pt: 0.0000 0.5000 0.3336 [4 per cell]  2 Ga 2.50
Pt: 0.5000 0.5000 0.0000 [1 per cell]  2 Ga 2.45

Summary:
- V (Å³/f.u.) = 193.4

11.
VASP calculation (PBE-GGA) on a geometry-optimized Sr2CdGa2Pt5 structure.

abc: 10.2163 10.2163 3.7247
angles: 90.00 90.00 90.00
Closest atoms and distances in Å follow each position.
Space group P4/mbm (No. 127)
Inequivalent atoms, fractional coordinates:
Sr: 0.1778 0.3222 0.0000 [4 per cell]  3 Ga 2.91-3.11, 6 Pt 3.17-3.26
Cd: 0.0000 0.0000 0.0000 [2 per cell]  8 Pt 2.92
Ga: 0.1207 0.6207 0.0000 [4 per cell]  6 Pt 2.55-2.60
Pt: 0.0000 0.5000 0.5000 [2 per cell]  4 Ga 2.55
Pt: 0.0627 0.7889 0.5000 [8 per cell]  2 Ga 2.60

Summary:
- V (Å³/f.u.) = 194.4

12.
VASP calculation (PBE-GGA) on a geometry-optimized Tb2CdGa4Pt3 structure.

abc: 4.2220 4.2220 10.9154
angles: 90.00 90.00 90.00
Closest atoms and distances in Å follow each position.
Space group P-4m2 (No. 115)
Inequivalent atoms, fractional coordinates:
Tb: 0.0000 0.5000 0.2341 [2 per cell]  4 Pt 3.19, 8 Ga 3.27-3.31
Cd: 0.0000 0.0000 0.5000 [1 per cell]  4 Ga 2.64
Ga: 0.0000 0.0000 0.0000 [1 per cell]  4 Pt 2.55
Ga: 0.0000 0.5000 0.6447 [2 per cell]  3 Pt 2.44-2.64, 2 Cd 2.64
Ga: 0.5000 0.5000 0.0000 [1 per cell]  4 Pt 2.55
Pt: 0.0000 0.5000 0.8683 [2 per cell]  5 Ga 2.44-2.55
Pt: 0.5000 0.5000 0.5000 [1 per cell]  4 Ga 2.64

Summary:
- V (Å³/f.u.) = 194.6

| no. | total magnetization (μB per formula unit) | DFT total energy (eV/atom) | formation energy from the elements (meV per atom) |
| --- | --- | --- | --- |
| 1 | 0.0 | -4.972 | -741 |
| 2 | 0.0 | -4.884 | -826 |
| 3 | 0.0 | -4.721 | -759 |
| 4 | 0.0 | -5.234 | -874 |
| 5 | 0.0 | -3.316 | -377 |
| 6 | 0.0 | -2.880 | -364 |
| 7 | 0.0 | -3.310 | -372 |
| 8 | 0.0 | -4.546 | -794 |
| 9 | 0.0 | -4.400 | -442 |
| 10 | 0.0 | -4.747 | -430 |
| 11 | 0.0 | -4.715 | -662 |
| 12 | 0.0 | -4.851 | -811 |